Entry 1:
Ca2TbCd2 PBE-GGA optimized geometry; DOS(E_F) = 5.1 states/eV/f.u.; DFT total energy = -2.3214 eV per atom; calculated volume = 30.975 Å³/atom; SG = No. 65
1.0
-2.035 3.044 -0.489
-2.589 -1.338 2.449
4.032 4.226 9.529
Ca Tb Cd
2 1 2
Cartesian
2.182 2.526 6.645
-0.739 0.362 5.333
0.000 0.000 0.000
-1.406 1.686 2.393
0.814 4.246 9.096

Entry 2:
TlAuSe PBE-GGA optimized geometry; DFT total energy = -3.3183 eV per atom; calculated volume = 29.673 Å³/atom; SG = No. 2
1.0
4.679 0.000 0.000
-0.031 5.620 0.000
-0.045 0.000 6.770
Tl Au Se
2 2 2
Cartesian
2.338 1.584 1.691
2.265 4.036 5.078
-0.023 0.000 3.385
0.000 0.000 0.000
4.612 1.792 5.077
-0.009 3.828 1.693

Entry 3:
MgIn2Au8 PBE-GGA optimized geometry; DOS(E_F) = 2.7 states/eV/f.u.; energy above the lowest structure with this stoichiometry = 6 meV per atom; calculated volume = 18.754 Å³/atom; SG = No. 12
1.0
4.165 0.000 0.000
0.000 6.767 0.266
-2.082 -2.597 7.218
Mg In Au
1 2 8
Cartesian
2.082 0.000 0.000
2.082 0.871 4.174
0.000 3.298 3.311
0.000 1.614 6.063
2.082 5.299 2.750
2.082 3.590 5.417
2.082 -0.625 6.711
0.000 0.579 2.067
0.000 -1.130 4.734
2.082 2.555 1.421
0.000 4.795 0.773

Entry 4:
Na5Tl5In2 PBE-GGA optimized geometry; DOS(E_F) = 4.4 states/eV/f.u.; energy above the lowest structure with this stoichiometry = 10 meV per atom; calculated volume = 27.998 Å³/atom; SG = No. 12
1.0
-2.629 -2.758 -3.132
0.524 -3.500 6.528
-7.636 7.571 -0.257
Na Tl In
5 5 2
Cartesian
-5.133 2.406 -1.694
-9.175 4.574 -0.209
-3.395 -0.340 -0.734
-6.347 1.653 3.873
-0.566 -3.261 3.348
-4.017 2.156 1.473
-7.433 1.943 0.645
-2.309 -0.630 2.494
-5.725 -0.844 1.666
0.000 0.000 0.000
-5.861 4.861 0.639
-3.881 -3.548 2.500

Entry 5:
NbAsN2 PBE-GGA optimized geometry; DOS(E_F) = 2.2 states/eV/f.u.; DFT total energy = -7.6612 eV per atom; calculated volume = 15.615 Å³/atom; SG = No. 122
1.0
-1.943 1.048 -4.690
-4.624 -1.785 1.517
-4.457 3.893 -0.149
Nb As N
2 2 4
Cartesian
0.000 0.000 0.000
-4.842 2.286 -3.213
-3.284 -0.369 -1.587
-6.183 0.870 -0.109
-3.037 1.475 -3.093
-4.118 -0.082 0.638
-5.497 2.763 -1.403
-9.398 2.155 -2.787

Entry 6:
KU3Te6Pd2 PBE-GGA optimized geometry; DOS(E_F) = 17.3 states/eV/f.u.; DFT total energy = -5.9934 eV per atom; calculated volume = 36.963 Å³/atom; SG = No. 12
1.0
4.407 0.000 0.000
0.000 10.308 -0.397
-2.203 -3.914 9.916
K U Te Pd
1 3 6 2
Cartesian
2.203 0.000 0.000
2.203 5.154 -0.199
2.203 -0.868 6.530
0.000 7.262 2.988
0.000 7.278 6.055
2.203 5.072 3.179
2.203 -0.884 3.463
2.203 -1.154 9.604
0.000 7.548 -0.086
0.000 1.322 6.340
2.203 1.843 7.811
0.000 4.551 1.708

Entry 7:
Ac2LaTbS4 PBE-GGA optimized geometry; DOS(E_F) = 4.7 states/eV/f.u.; DFT total energy = -6.3164 eV per atom; calculated volume = 25.732 Å³/atom; SG = No. 10
1.0
-0.051 -3.594 -2.033
7.207 0.116 -0.385
-1.994 -3.438 6.126
Ac La Tb S
2 1 1 4
Cartesian
-1.022 -3.516 2.047
2.607 -1.661 2.871
0.000 0.000 0.000
3.578 -1.739 -1.209
1.336 -2.567 0.312
3.827 -4.348 3.397
0.381 -2.628 4.635
4.832 -0.694 1.106

Entry 8:
Sc2SnWBr PBE-GGA optimized geometry; DOS(E_F) = 5.9 states/eV/f.u.; DFT total energy = -4.8211 eV per atom; calculated volume = 33.005 Å³/atom; SG = No. 123
1.0
-2.045 -0.154 -5.078
-4.562 -2.411 1.910
-2.279 4.920 0.769
Sc Br Sn W
2 1 1 1
Cartesian
-1.139 2.460 0.384
-1.023 -0.077 -2.539
-2.281 -1.205 0.955
0.000 0.000 0.000
-4.443 1.178 -1.199